# VAs2N PBE optimized geometry
# Total moment: 7.729 μB/cell
# Final energy: -6.121 eV/atom
data_VAs2N
_chemical_formula_sum 'V4 As8 N4'
_space_group_name_H-M_alt 'I -4 2 d'
_space_group_IT_number 122
_space_group_name_Hall 'I -4 2bw'
_cell_length_a 5.612
_cell_length_b 5.612
_cell_length_c 8.270
_cell_angle_alpha 90.00
_cell_angle_beta 90.00
_cell_angle_gamma 90.00
loop_
_atom_site_label
_atom_site_fract_x
_atom_site_fract_y
_atom_site_fract_z
V1 0.000 0.000 0.000
As1 0.190 0.250 0.625
N1 0.000 0.000 0.500